[1]
3
Lattice="0.0000 3.2468 3.2468 3.2468 0.0000 3.2468 3.2468 3.2468 0.0000" Properties=species:S:1:pos:R:3 comment="GGA-PBE HfTlRe, optimized geometry" spacegroup="F-43m, No. 216" total_energy_ev_per_atom=-7.5673 de_polymorph_ev_per_fu=0.000 vol_a3_per_atom=22.8 pbc="T T T"
Hf 1.6234 1.6234 1.6234
Re 0.0000 0.0000 0.0000
Tl 4.8702 4.8702 4.8702

[2]
8
Lattice="-2.9302 9.7690 -0.9908 -2.5393 8.5778 4.9974 2.5251 9.7704 1.7787" Properties=species:S:1:pos:R:3 comment="GGA-PBE K3Rb2CuSb2, optimized geometry" spacegroup="R-3m, No. 166" total_energy_ev_per_atom=-2.4799 de_polymorph_ev_per_fu=0.216 vol_a3_per_atom=39.0 pbc="T T T"
Cu 0.0000 0.0000 0.0000
K -1.0748 10.2637 2.1119
K -1.4722 14.0586 2.8927
K -1.8696 17.8535 3.6735
Rb -0.6394 6.1061 1.2564
Rb -2.3050 22.0111 4.5290
Sb -0.2558 2.4425 0.5026
Sb -2.6886 25.6746 5.2828

[3]
3
Lattice="-0.9114 0.3987 4.1502 -3.8795 -1.1636 1.3450 2.7277 -3.3872 -0.9996" Properties=species:S:1:pos:R:3 comment="GGA-PBE Ge2Au, optimized geometry" spacegroup="C2/m, No. 12" total_energy_ev_per_atom=-4.0794 vol_a3_per_atom=20.8 pbc="T T T"
Au 0.0000 0.0000 0.0000
Ge -2.8152 -1.5865 3.8622
Ge 0.7519 -2.5656 0.6334

[4]
16
Lattice="-4.0336 -2.1441 3.6710 3.6019 0.3599 4.1678 -1.6345 4.7857 0.9992" Properties=species:S:1:pos:R:3 comment="GGA-PBE LiTaNO, optimized geometry" spacegroup="Pca2_1, No. 29" total_energy_ev_per_atom=-8.2764 de_polymorph_ev_per_fu=1.044 vol_a3_per_atom=10.4 pbc="T T T"
Li -0.5327 1.6069 3.9572
Li -2.5296 0.5369 5.8158
Li -0.2589 4.5797 3.4639
Li -2.2558 3.5097 5.3224
N -2.9535 -1.1293 4.2881
N 1.0512 0.1414 4.7529
N -2.7563 1.8028 3.8644
N 1.2484 3.0735 4.3292
O -0.8492 -0.0776 2.4894
O -0.9871 -0.9619 6.4990
O -0.6929 2.8328 2.1030
O -0.8308 1.9485 6.1126
Ta -4.2334 0.3390 3.6854
Ta 1.3300 1.7654 5.9537
Ta -4.0827 3.2464 3.3041
Ta 1.4807 4.6728 5.5724

[5]
4
Lattice="0.0000 3.1090 3.1090 3.1090 0.0000 3.1090 3.1090 3.1090 0.0000" Properties=species:S:1:pos:R:3 comment="GGA-PBE NbCoGeW, optimized geometry" spacegroup="F-43m, No. 216" total_energy_ev_per_atom=-8.5244 de_polymorph_ev_per_fu=0.000 vol_a3_per_atom=15.0 pbc="T T T"
Co 4.6635 4.6635 4.6635
Ge 0.0000 0.0000 0.0000
Nb 3.1090 3.1090 3.1090
W 1.5545 1.5545 1.5545

[6]
4
Lattice="0.0000 3.3942 3.3942 3.3942 0.0000 3.3942 3.3942 3.3942 0.0000" Properties=species:S:1:pos:R:3 comment="GGA-PBE ZrTa2Hg, optimized geometry" spacegroup="F-43m, No. 216" delta_e_f_mev_per_atom=220 total_energy_ev_per_atom=-7.9175 vol_a3_per_atom=19.6 pbc="T T T"
Hg 3.3942 3.3942 3.3942
Ta 0.0000 0.0000 0.0000
Ta 1.6971 1.6971 1.6971
Zr 5.0913 5.0913 5.0913

[7]
12
Lattice="2.0889 -7.1311 0.0000 2.0889 7.1311 0.0000 0.0000 0.0000 11.4882" Properties=species:S:1:pos:R:3 comment="GGA-PBE PrAgTePbS2, optimized geometry" spacegroup="Cmcm, No. 63" total_energy_ev_per_atom=-4.6883 vol_a3_per_atom=28.5 pbc="T T T"
Ag 2.0889 0.1986 2.8720
Ag 2.0889 -0.1986 8.6161
Pb 2.0888 -4.1932 2.8720
Pb 2.0888 4.1932 8.6161
Pr 0.0000 0.0000 0.0000
Pr 0.0000 0.0000 5.7441
S 2.0889 1.7804 0.8752
S 2.0889 1.7804 4.8689
S 2.0889 -1.7804 6.6193
S 2.0889 -1.7804 10.6130
Te 2.0889 5.4533 2.8720
Te 2.0889 -5.4533 8.6161

[8]
12
Lattice="1.9753 -5.7602 6.2585 6.2032 -3.2395 5.2227 2.7188 -1.1854 8.2130" Properties=species:S:1:pos:R:3 comment="GGA-PBE Y3Fe7Ni2, optimized geometry" spacegroup="R-3m, No. 166" delta_e_f_mev_per_atom=-122 total_energy_ev_per_atom=-7.5133 vol_a3_per_atom=15.0 pbc="T T T"
Fe 4.9796 -5.3293 7.3565
Fe 5.5474 -7.1339 11.3645
Fe 7.6528 -5.8787 10.8487
Fe 5.4487 -5.0925 9.8471
Fe 3.2445 -4.3064 8.8456
Fe 5.3499 -3.0511 8.3298
Fe 5.9177 -4.8558 12.3378
Ni 3.6229 -3.3861 6.5475
Ni 7.2745 -6.7990 13.1468
Y 0.0000 0.0000 0.0000
Y 1.5453 -1.4443 2.7928
Y 9.3520 -8.7408 16.9015